Entry 1:
! RbSe3 | the Alexandria database | PBE-GGA | optimized geometry; values from VASP
! relative energy among the computed polymorphs	0.0	meV per atom
! calculated density	4.0	g/cm³
! spin magnetization	0.00	μB/atom
! formation energy from raw total energies	-0.482	eV per atom
! symmetry	P-1, No. 2
! volume	33.76	Å³/atom
&SYSTEM
  ibrav = 0, nat = 8, ntyp = 2
/
ATOMIC_SPECIES
Rb 85.47 Rb.upf
Se 78.96 Se.upf
CELL_PARAMETERS angstrom
5.2405 0.6832 2.5332
1.5741 6.7192 1.5818
0.5749 0.7360 8.2738
ATOMIC_POSITIONS crystal
Rb 0.3644 0.3071 0.2999
Rb 0.6356 0.6929 0.7001
Se 0.1307 0.0591 0.0505
Se 0.8693 0.9409 0.9496
Se 0.7424 0.6633 0.1939
Se 0.2576 0.3367 0.8061
Se 0.2915 0.8091 0.4251
Se 0.7085 0.1909 0.5749


Entry 2:
! RbSe | the Alexandria database | PBE-GGA | optimized geometry; values from VASP
! calculated density	2.4	g/cm³
! spin magnetization	0.00	μB/atom
! formation energy from raw total energies	-0.729	eV per atom
! symmetry	P4/m, No. 83
! volume	56.53	Å³/atom
! DOS(E_F)	0.6	states/eV/f.u.
&SYSTEM
  ibrav = 0, nat = 16, ntyp = 2
/
ATOMIC_SPECIES
Rb 85.47 Rb.upf
Se 78.96 Se.upf
CELL_PARAMETERS angstrom
-7.0151 -4.5950 10.4574
9.4364 -9.2465 2.2672
2.4170 3.2100 3.0319
ATOMIC_POSITIONS crystal
Rb 0.6698 0.3310 0.5000
Rb 0.3302 0.6690 0.5000
Rb 0.6690 0.6698 0.5000
Rb 0.3310 0.3302 0.5000
Rb 0.0004 0.6376 0.0000
Rb 0.9996 0.3624 0.0000
Rb 0.3624 0.0004 0.0000
Rb 0.6376 0.9996 0.0000
Se 0.8505 0.5008 0.5000
Se 0.1495 0.4992 0.5000
Se 0.4992 0.8505 0.5000
Se 0.5008 0.1495 0.5000
Se 0.7834 0.5008 0.0000
Se 0.2166 0.4992 0.0000
Se 0.4992 0.7834 0.0000
Se 0.5008 0.2166 0.0000